{"formula": "Mn3NiO4", "functional": "SCAN", "state": "PBEsol geometry", "rho_g_cm3": 5.85, "final_energy_ev_per_atom": -13.63, "formation_energy_uncorrected_ev_per_atom": -1.650, "cell": [[-0.0383, 1.8130, 2.2919], [-5.5277, -0.9833, 0.6854], [3.7443, -3.2942, 2.6685]], "species": ["Mn", "Mn", "Mn", "Ni", "O", "O", "O", "O"], "frac_coords": [[0.0000, 0.5000, 0.5000], [0.5000, 0.0000, 0.5000], [0.5000, 0.5000, 0.0000], [0.0000, 0.0000, 0.0000], [0.0000, 0.2880, 0.7120], [0.5000, 0.7667, 0.7667], [0.5000, 0.2333, 0.2333], [0.0000, 0.7120, 0.2880]]}